Compound: Ac6SbTe3Rh2
Source: Alexandria
Functional: GGA-PBE
Structure: relaxed

Output
formation energy (no corrections) = -1.16 eV/atom

Unit cell a=7.894 b=7.894 c=8.393 alpha=99.23 beta=99.23 gamma=120.01
Element x y z (fractional)
Ac 0.930 0.569 0.780
Ac 0.713 0.713 0.216
Ac 0.070 0.431 0.220
Ac 0.569 0.930 0.780
Ac 0.287 0.287 0.784
Ac 0.431 0.070 0.220
Sb 0.000 0.000 0.000
Te 0.157 0.843 0.500
Te 0.843 0.157 0.500
Te 0.500 0.500 0.500
Rh 0.332 0.668 0.000
Rh 0.668 0.332 0.000



Compound: TaAl2Os
Source: Alexandria
Functional: GGA-PBE
Structure: relaxed

Output
energy relative to the lowest polymorph listed for this composition = 24.6 kJ per mole of atoms
energy of formation from the pure elements = -131 meV/atom

Unit cell a=5.245 b=5.062 c=2.828 alpha=80.12 beta=78.00 gamma=117.38
Element x y z (fractional)
Os 0.000 0.500 0.500
Al 0.000 0.000 0.000
Al 0.500 0.000 0.500
Ta 0.500 0.500 0.000



Compound: SmHoAlAg
Source: Alexandria
Functional: GGA-PBE
Structure: relaxed

Output
energy relative to the lowest polymorph listed for this composition = 0.0 kJ per mole of atoms
energy of formation from the pure elements = -350 meV/atom

Unit cell a=3.578 b=3.578 c=7.623 alpha=90.00 beta=90.00 gamma=90.00
Element x y z (fractional)
Sm 0.000 0.000 0.852
Ho 0.000 0.000 0.354
Al 0.500 0.500 0.596
Ag 0.500 0.500 0.125



Compound: CaPCl2
Source: Alexandria
Functional: GGA-PBE
Structure: relaxed

Output
energy relative to the lowest polymorph listed for this composition = 17.8 kJ per mole of atoms
formation energy (no corrections) = -0.88 eV/atom

Unit cell a=4.552 b=4.552 c=5.369 alpha=90.00 beta=90.00 gamma=90.00
Last column: magnetic moment on the atom in μB.
Element x y z (fractional)
Ca 0.500 0.500 0.657  0.02
Cl 0.000 0.000 0.028  0.15
Cl 0.500 0.500 0.169  0.03
P 0.000 0.000 0.645  0.28



Compound: Ca2LaAl
Source: Alexandria
Functional: GGA-PBE
Structure: relaxed

Output
energy of formation from the pure elements = -130 meV/atom

Unit cell a=3.730 b=3.730 c=9.771 alpha=90.00 beta=90.00 gamma=90.00
Element x y z (fractional)
Ca 0.000 0.000 0.943
Ca 0.500 0.500 0.250
Al 0.500 0.500 0.750
La 0.000 0.000 0.558



Compound: TcNiIr
Source: Alexandria
Functional: GGA-PBE
Structure: relaxed

Output
energy relative to the lowest polymorph listed for this composition = 13.4 kJ per mole of atoms
energy of formation from the pure elements = 1 meV/atom

Unit cell a=2.697 b=2.697 c=6.458 alpha=90.00 beta=90.00 gamma=120.00
Element x y z (fractional)
Ir 0.000 0.000 0.001
Ni 0.333 0.667 0.337
Tc 0.667 0.333 0.662



Compound: SrTa2Cd
Source: Alexandria
Functional: GGA-PBE
Structure: relaxed

Output
energy of formation from the pure elements = 884 meV/atom

Unit cell a=6.054 b=6.054 c=2.872 alpha=90.00 beta=90.00 gamma=120.85
Element x y z (fractional)
Cd 0.500 0.000 0.500
Sr 0.000 0.500 0.500
Ta 0.000 0.000 0.000
Ta 0.500 0.500 0.000



Compound: RbFeN3
Source: Alexandria
Functional: GGA-PBE
Structure: relaxed

Output
formation energy (no corrections) = 1.32 eV/atom

Unit cell a=3.848 b=3.848 c=3.848 alpha=90.00 beta=90.00 gamma=90.00
Element x y z (fractional)
Fe 0.000 0.000 0.000
Rb 0.500 0.500 0.500
N 0.000 0.500 0.000
N 0.000 0.000 0.500
N 0.500 0.000 0.000



Number 1: uncorrected energy -5.570 eV/atom. Number 2: uncorrected energy -7.772 eV/atom. Number 3: uncorrected energy -4.323 eV/atom. Number 4: uncorrected energy -3.652 eV/atom. Number 5: uncorrected energy -3.298 eV/atom. Number 6: uncorrected energy -8.335 eV/atom. Number 7: uncorrected energy -5.692 eV/atom. Number 8: uncorrected energy -5.562 eV/atom.